Record 1
First-principles (PBE) data for KHg2Br2 after structural relaxation, as listed in Alexandria via LeMat-Bulk.

Summary:
Symmetry   I4/mmm (139)
N(E_F)   0.36 states/eV per atom
Excess energy over the best structure of this formula in the dataset   0.044 eV/atom
Total magnetic moment   0.00 Bohr magnetons per cell
VASP energy   -0.0618 hartree per atom
ΔE_f (raw)   -673 meV per atom

Cell lengths 5.929, 5.929, 6.530 Å; angles 63.00, 63.00, 90.00 degrees
Atoms (fractional coordinates):
K 0.000 0.000 0.000
Hg 0.360 0.360 0.279
Hg 0.640 0.640 0.721
Br 0.750 0.250 0.500
Br 0.250 0.750 0.500

=====

Record 2
First-principles (PBE) data for K4Hg3Br12 after structural relaxation, as listed in Alexandria via LeMat-Bulk.

Summary:
Symmetry   Im-3 (204)
N(E_F)   0.72 states/eV per atom
Total magnetic moment   2.34 Bohr magnetons per cell
VASP energy   -0.0798 hartree per atom
ΔE_f (raw)   -837 meV per atom

Cell lengths 10.237, 10.237, 10.237 Å; angles 109.47, 109.47, 109.47 degrees
Last column: magnetic moment on the atom in μB.
Atoms (fractional coordinates):
K 0.000 0.000 0.500  0.00
K 0.500 0.500 0.500  0.00
K 0.500 0.000 0.000  0.00
K 0.000 0.500 0.000  0.00
Hg 0.500 0.000 0.500  0.09
Hg 0.500 0.500 0.000  0.09
Hg 0.000 0.500 0.500  0.09
Br 0.659 0.500 0.841  0.13
Br 0.341 0.500 0.159  0.13
Br 0.341 0.183 0.841  0.13
Br 0.500 0.841 0.659  0.13
Br 0.841 0.341 0.183  0.13
Br 0.159 0.341 0.500  0.13
Br 0.183 0.841 0.341  0.13
Br 0.159 0.659 0.817  0.13
Br 0.659 0.817 0.159  0.13
Br 0.500 0.159 0.341  0.13
Br 0.841 0.659 0.500  0.13
Br 0.817 0.159 0.659  0.13

=====

Record 3
First-principles (PBE) data for K2Hg3Br8 after structural relaxation, as listed in Alexandria via LeMat-Bulk.

Summary:
Symmetry   C2/m (12)
N(E_F)   0.00 states/eV per atom
Total magnetic moment   0.00 Bohr magnetons per cell
VASP energy   -0.0778 hartree per atom
ΔE_f (raw)   -849 meV per atom

Cell lengths 7.002, 10.480, 9.055 Å; angles 125.36, 102.22, 90.00 degrees
Atoms (fractional coordinates):
K 0.488 0.289 0.579
K 0.512 0.711 0.421
Hg 0.500 0.000 0.000
Hg 0.000 0.307 0.000
Hg 0.000 0.693 0.000
Br 0.881 0.607 0.215
Br 0.119 0.393 0.785
Br 0.787 0.141 0.282
Br 0.213 0.859 0.718
Br 0.677 0.664 0.776
Br 0.677 0.112 0.776
Br 0.323 0.888 0.224
Br 0.323 0.336 0.224